First-principles (PBE-GGA) data for crystalline MgTa2Re at its relaxed geometry, as listed in the Alexandria database.

Structure (POSCAR):
```
MgTa2Re
1.0
-3.559 2.797 -6.051
0.580 -6.703 -3.440
-3.923 -2.717 -3.667
Re Mg Ta
2 2 4
direct
0.000 0.000 0.000
0.750 0.250 0.500
0.500 0.500 0.000
0.250 0.750 0.500
0.671 0.125 0.250
0.079 0.625 0.250
0.375 0.329 0.750
0.875 0.921 0.750
```

**Energy of formation from the pure elements**: 0.675 eV per atom
**Space group**: I-42d (122)
**Energy**: -8.762 eV/atom

---

First-principles (PBE-GGA) data for crystalline Mg2TaRe at its relaxed geometry, as listed in the Alexandria database.

Structure (POSCAR):
```
Mg2TaRe
1.0
4.597 0.000 0.000
0.008 4.597 0.000
-2.302 -2.298 3.248
Mg Re Ta
2 1 1
direct
0.000 0.000 0.000
0.250 0.750 0.500
0.500 0.500 0.000
0.750 0.250 0.500
```

**Energy of formation from the pure elements**: 0.202 eV per atom
**Space group**: F-43m (216)
**Energy**: -6.670 eV/atom
**Offset from the most stable computed form**: 0.44 eV/f.u.

---

First-principles (PBE-GGA) data for crystalline Mg2TaRe at its relaxed geometry, as listed in the Alexandria database.

Structure (POSCAR):
```
Mg2TaRe
1.0
-0.227 2.427 1.273
-1.192 0.242 -2.466
-8.433 -2.784 3.804
Mg Re Ta
2 1 1
direct
0.000 0.000 0.014
0.000 0.000 0.486
0.500 0.500 0.250
0.500 0.500 0.750
```

**Energy of formation from the pure elements**: 0.315 eV per atom
**Space group**: Cmmm (65)
**Energy**: -6.558 eV/atom
**Offset from the most stable computed form**: 0.88 eV/f.u.

---

First-principles (PBE-GGA) data for crystalline Mg2TaRe at its relaxed geometry, as listed in the Alexandria database.

Structure (POSCAR):
```
Mg2TaRe
1.0
5.503 -0.003 -0.012
-2.391 4.950 0.008
0.720 0.706 2.550
Mg Re Ta
2 1 1
direct
0.000 0.000 0.000
0.500 0.000 0.500
0.000 0.500 0.500
0.500 0.500 0.000
```

**Energy of formation from the pure elements**: 0.273 eV per atom
**Space group**: C2/m (12)
**Energy**: -6.600 eV/atom
**Offset from the most stable computed form**: 0.72 eV/f.u.

---

> Which of these has the lowest energy of formation from the pure elements?

number 2

---

> What is the formula in the first record?

MgTa2Re

---

> The highest energy belongs to which entry?

number 3

---

> What is the energy in the third record?

-6.558 eV/atom